Tb4Nd2Tm7 | Alexandria | PBE-GGA | optimized geometry; symmetry = P-31m, No. 162; uncorrected energy = -56.97 eV per cell
1.0
6.023 0.000 0.000
-3.011 5.216 0.000
0.000 0.000 13.372
Tb Nd Tm
4 2 7
direct
0.667 0.333 0.500
0.333 0.667 0.500
0.000 0.000 0.605
0.000 0.000 0.395
0.667 0.333 0.000
0.333 0.667 0.000
0.000 0.000 0.000
0.348 0.348 0.786
0.348 0.000 0.214
0.652 0.652 0.214
0.000 0.652 0.786
0.652 0.000 0.786
0.000 0.348 0.214

Tb3NdTm3 | Alexandria | PBE-GGA | optimized geometry; symmetry = P6_3/m, No. 176; excess energy over the best structure of this formula in the dataset = 0 meV/atom
1.0
-1.597 4.480 3.058
1.561 -4.924 8.028
7.034 5.157 -3.882
Tb Tm Nd
6 6 2
direct
0.750 0.189 0.951
0.750 0.049 0.239
0.250 0.951 0.761
0.250 0.239 0.190
0.750 0.761 0.810
0.250 0.811 0.049
0.750 0.904 0.523
0.750 0.477 0.381
0.250 0.523 0.619
0.250 0.381 0.904
0.750 0.619 0.096
0.250 0.096 0.477
0.250 0.667 0.333
0.750 0.333 0.667

Tb2Nd5Tm4 | Alexandria | PBE-GGA | optimized geometry; symmetry = C2/m, No. 12; excess energy over the best structure of this formula in the dataset = 0 meV/atom
1.0
3.483 0.000 -0.658
-0.193 11.564 -1.022
-0.104 0.178 8.997
Tm Nd Tb
4 5 2
direct
0.360 0.205 0.720
0.034 0.259 0.068
0.966 0.741 0.932
0.640 0.795 0.280
0.824 0.930 0.647
0.176 0.070 0.353
0.500 0.000 0.000
0.904 0.465 0.807
0.096 0.535 0.193
0.716 0.351 0.433
0.284 0.649 0.567

TbNd4Tm5 | Alexandria | PBE-GGA | optimized geometry; symmetry = P4/mmm, No. 123; excess energy over the best structure of this formula in the dataset = 0 meV/atom
1.0
3.590 0.000 0.000
0.000 3.590 0.000
0.000 0.000 24.966
Nd Tm Tb
4 5 1
direct
0.000 0.000 0.199
0.000 0.000 0.399
0.000 0.000 0.801
0.000 0.000 0.601
0.500 0.500 0.902
0.500 0.500 0.701
0.500 0.500 0.299
0.500 0.500 0.098
0.500 0.500 0.500
0.000 0.000 0.000

Tb5Nd4Tm2 | Alexandria | PBE-GGA | optimized geometry; symmetry = C2/m, No. 12; excess energy over the best structure of this formula in the dataset = 0 meV/atom
1.0
5.509 0.000 -1.344
-0.321 6.511 -1.318
-0.520 1.797 9.834
Tb Nd Tm
5 4 2
direct
0.208 0.402 0.417
0.792 0.598 0.583
0.130 0.892 0.260
0.500 0.000 0.000
0.870 0.108 0.740
0.981 0.711 0.962
0.306 0.932 0.613
0.694 0.068 0.387
0.019 0.289 0.038
0.403 0.447 0.806
0.597 0.553 0.194

Tb12NdTm6 | Alexandria | PBE-GGA | optimized geometry; symmetry = R-3, No. 148; excess energy over the best structure of this formula in the dataset = 0 meV/atom
1.0
8.430 0.711 0.851
-0.576 8.440 0.851
-0.576 -0.671 8.456
Tb Tm Nd
12 6 1
direct
0.776 0.542 0.434
0.011 0.205 0.358
0.458 0.566 0.224
0.989 0.795 0.642
0.205 0.358 0.011
0.434 0.776 0.542
0.542 0.434 0.776
0.224 0.458 0.566
0.642 0.989 0.795
0.566 0.224 0.458
0.795 0.642 0.989
0.358 0.011 0.205
0.309 0.743 0.905
0.743 0.905 0.309
0.905 0.309 0.743
0.257 0.095 0.691
0.095 0.691 0.257
0.691 0.257 0.095
0.000 0.000 0.000

Tb2Nd4Tm5 | Alexandria | PBE-GGA | optimized geometry; symmetry = C2/m, No. 12; uncorrected energy = -49.54 eV per cell
1.0
-2.855 4.058 2.717
-5.650 -3.182 -1.183
2.557 -6.753 6.885
Nd Tm Tb
4 5 2
direct
0.022 0.284 0.045
0.306 0.925 0.612
0.978 0.716 0.955
0.694 0.075 0.388
0.500 0.000 0.000
0.131 0.886 0.262
0.210 0.401 0.419
0.869 0.114 0.738
0.790 0.599 0.581
0.599 0.556 0.198
0.401 0.444 0.802

Tb8Nd3Tm4 | Alexandria | PBE-GGA | optimized geometry; symmetry = C2/m, No. 12; uncorrected energy = -63.63 eV per cell
1.0
6.807 -0.045 -0.065
-3.280 8.432 1.530
-3.280 -1.492 8.439
Nd Tb Tm
3 8 4
direct
0.500 0.500 0.500
0.500 0.000 0.500
0.500 0.500 0.000
0.740 0.752 0.752
0.500 0.248 0.752
0.500 0.752 0.248
0.191 0.703 0.703
0.000 0.296 0.704
0.260 0.248 0.248
0.000 0.704 0.296
0.809 0.297 0.297
0.000 0.500 0.000
0.500 0.000 0.000
0.000 0.000 0.000
0.000 0.000 0.500

Copy entry 8 word for word.
Tb8Nd3Tm4 | Alexandria | PBE-GGA | optimized geometry; symmetry = C2/m, No. 12; uncorrected energy = -63.63 eV per cell
1.0
6.807 -0.045 -0.065
-3.280 8.432 1.530
-3.280 -1.492 8.439
Nd Tb Tm
3 8 4
direct
0.500 0.500 0.500
0.500 0.000 0.500
0.500 0.500 0.000
0.740 0.752 0.752
0.500 0.248 0.752
0.500 0.752 0.248
0.191 0.703 0.703
0.000 0.296 0.704
0.260 0.248 0.248
0.000 0.704 0.296
0.809 0.297 0.297
0.000 0.500 0.000
0.500 0.000 0.000
0.000 0.000 0.000
0.000 0.000 0.500